Record 1
This record from the Alexandria database describes a relaxed H2OsRh crystal. The functional is GGA-PBEsol.

Cell: 4.079 4.079 8.190 Å, 90.00 90.00 90.00°
Atoms (fractional coordinates):
H: 0.239 0.250 0.125
H: 0.250 0.739 0.375
H: 0.250 0.761 0.875
H: 0.261 0.250 0.625
H: 0.739 0.750 0.625
H: 0.750 0.239 0.875
H: 0.750 0.261 0.375
H: 0.761 0.750 0.125
Os: 0.000 0.000 0.500
Os: 0.000 0.500 0.750
Os: 0.500 0.000 0.250
Os: 0.500 0.500 0.000
Rh: 0.000 0.000 0.000
Rh: 0.000 0.500 0.250
Rh: 0.500 0.000 0.750
Rh: 0.500 0.500 0.500

Properties
**Volume**: 8.5 Å³ per atom
**Space-group type**: No. 122
**VASP energy**: -6.41 eV per atom
**Spin magnetization**: 0.000 μB per formula unit

=====

Record 2
This record from the Alexandria database describes a relaxed HOsRu3 crystal. The functional is GGA-PBEsol.

Cell: 4.632 4.632 4.632 Å, 90.00 90.00 90.00°
Atoms (fractional coordinates):
H: 0.000 0.000 0.000
Os: 0.500 0.500 0.500
Ru: 0.000 0.500 0.500
Ru: 0.500 0.000 0.500
Ru: 0.500 0.500 0.000

Properties
**Volume**: 19.9 Å³ per atom
**Space-group type**: No. 221
**VASP energy**: -6.67 eV per atom
**Spin magnetization**: 3.164 μB per formula unit

=====

Record 3
This record from the Alexandria database describes a relaxed H2OsRu2 crystal. The functional is GGA-PBEsol.

Cell: 2.772 2.772 12.059 Å, 90.00 90.00 90.00°
Atoms (fractional coordinates):
H: 0.000 0.500 0.250
H: 0.000 0.500 0.750
H: 0.500 0.000 0.250
H: 0.500 0.000 0.750
Os: 0.000 0.000 0.000
Os: 0.500 0.500 0.500
Ru: 0.000 0.000 0.351
Ru: 0.000 0.000 0.649
Ru: 0.500 0.500 0.149
Ru: 0.500 0.500 0.851

Properties
**Volume**: 9.3 Å³ per atom
**Space-group type**: No. 139
**VASP energy**: -7.69 eV per atom
**Spin magnetization**: 0.000 μB per formula unit

=====

Record 4
This record from the Alexandria database describes a relaxed HOsS3 crystal. The functional is GGA-PBEsol.

Cell: 4.579 4.579 4.579 Å, 90.00 90.00 90.00°
Atoms (fractional coordinates):
H: 0.000 0.000 0.000
Os: 0.500 0.500 0.500
S: 0.000 0.500 0.500
S: 0.500 0.000 0.500
S: 0.500 0.500 0.000

Properties
**Volume**: 19.2 Å³ per atom
**Space-group type**: No. 221
**VASP energy**: -4.76 eV per atom
**Spin magnetization**: 0.740 μB per formula unit